[1]
Compound: Nb2VIn
Source: the Alexandria database
Functional: PBE
Structure: relaxed

ΔH_f (0 K) ... 0.23 eV per atom

abc: 3.1106 3.1106 26.5722
angles: 90.00 90.00 120.00
Space group R-3m (No. 166, hexagonal axes)
One atom of each set of equivalent atoms:
Nb 0.0000 0.0000 0.2398 x6
V 0.0000 0.0000 0.5000 x3
In 0.0000 0.0000 0.0000 x3

***

[2]
Compound: RbNaAs2Se
Source: the Alexandria database
Functional: PBE
Structure: relaxed

Formation energy from raw total energies ... 4.87 eV per formula unit
Energy above the most stable polymorph in this dataset ... 630.7 meV per atom

abc: 5.849 5.849 6.049
angles: 90.00 90.00 90.00
Space group P4/mmm (No. 123)
One atom of each set of equivalent atoms:
Rb 0.000 0.000 0.000 x1
Na 0.500 0.500 0.500 x1
As 0.000 0.500 0.000 x2
Se 0.000 0.000 0.500 x1

***

[3]
Compound: DyAs2Ru
Source: the Alexandria database
Functional: PBE
Structure: relaxed

ΔH_f (0 K) ... -0.72 eV per atom

abc: 4.0047 4.0047 16.6326
angles: 90.00 90.00 120.00
Space group R-3m (No. 166, hexagonal axes)
One atom of each set of equivalent atoms:
Dy 0.0000 0.0000 0.0000 x3
As 0.0000 0.0000 0.2312 x6
Ru 0.0000 0.0000 0.5000 x3

***

[4]
Compound: LaGa3F
Source: the Alexandria database
Functional: PBE
Structure: relaxed

Formation energy from raw total energies ... 2.37 eV per formula unit
Energy above the most stable polymorph in this dataset ... 1231.0 meV per atom

abc: 5.902 5.902 5.902
angles: 90.00 90.00 90.00
Space group Pm-3m (No. 221)
One atom of each set of equivalent atoms:
La 0.000 0.000 0.000 x1
Ga 0.000 0.000 0.500 x3
F 0.500 0.500 0.500 x1

***

[5]
Compound: Sn3Sb2Te
Source: the Alexandria database
Functional: PBE
Structure: relaxed

Formation energy from raw total energies ... -0.45 eV per formula unit

abc: 8.836 12.438 26.459
angles: 90.00 90.00 90.00
Space group Fddd (No. 70, origin choice 2)
One atom of each set of equivalent atoms:
Sn 0.115 0.375 0.375 x16
Sn 0.120 0.372 0.207 x32
Sb 0.125 0.125 0.040 x16
Sb 0.125 0.125 0.377 x16
Te 0.125 0.125 0.542 x16

***

[6]
Compound: Sm2DyY5Er
Source: the Alexandria database
Functional: PBE
Structure: relaxed

ΔH_f (0 K) ... 0.27 eV per atom

abc: 8.663 8.663 15.590
angles: 90.00 90.00 90.00
Space group I4/mcm (No. 140)
One atom of each set of equivalent atoms:
Sm 0.117 0.383 0.000 x8
Dy 0.000 0.000 0.250 x4
Y 0.000 0.000 0.000 x4
Y 0.210 0.290 0.362 x16
Er 0.000 0.500 0.250 x4

***

[7]
Compound: ErAgSn
Source: the Alexandria database
Functional: PBE
Structure: relaxed

ΔH_f (0 K) ... -0.51 eV per atom

abc: 6.703 6.703 6.703
angles: 90.00 90.00 90.00
Space group F-43m (No. 216)
One atom of each set of equivalent atoms:
Er 0.000 0.000 0.000 x4
Ag 0.250 0.250 0.250 x4
Sn 0.000 0.000 0.500 x4

***

[8]
Compound: LiPmTiRu
Source: the Alexandria database
Functional: PBE
Structure: relaxed

ΔH_f (0 K) ... -0.05 eV per atom

abc: 6.678 6.678 6.678
angles: 90.00 90.00 90.00
Space group F-43m (No. 216)
One atom of each set of equivalent atoms:
Li 0.000 0.000 0.000 x4
Pm 0.250 0.250 0.750 x4
Ti 0.250 0.250 0.250 x4
Ru 0.000 0.000 0.500 x4

***

[9]
Compound: Sn2P2Pd7Pb
Source: the Alexandria database
Functional: PBE
Structure: relaxed

ΔH_f (0 K) ... -0.31 eV per atom

abc: 6.003 5.739 12.706
angles: 90.00 99.15 90.00
Space group C2/m (No. 12)
One atom of each set of equivalent atoms:
Sn 0.088 0.000 0.350 x4
P 0.085 0.500 0.265 x4
Pd 0.000 0.500 0.000 x2
Pd 0.195 0.249 0.830 x8
Pd 0.197 0.500 0.450 x4
Pb 0.000 0.000 0.000 x2

***

[10]
Compound: La4TbEr7
Source: the Alexandria database
Functional: PBE
Structure: relaxed

ΔH_f (0 K) ... 0.27 eV per atom

abc: 12.108 5.918 12.832
angles: 90.00 116.55 90.00
Space group C2/m (No. 12)
One atom of each set of equivalent atoms:
La 0.088 0.000 0.292 x4
La 0.139 0.500 0.775 x4
Tb 0.000 0.500 0.000 x2
Er 0.000 0.000 0.000 x2
Er 0.132 0.500 0.487 x4
Er 0.167 0.000 0.631 x4
Er 0.211 0.000 0.919 x4

***

[11]
Compound: TcPbAu2
Source: the Alexandria database
Functional: PBE
Structure: relaxed

ΔH_f (0 K) ... 0.47 eV per atom

abc: 3.019 4.777 5.333
angles: 90.00 90.00 90.00
Space group Pmm2 (No. 25)
One atom of each set of equivalent atoms:
Tc 0.000 0.000 0.000 x1
Pb 0.000 0.500 0.326 x1
Au 0.500 0.000 0.538 x1
Au 0.500 0.500 0.851 x1

***

[12]
Compound: Y2PSe
Source: the Alexandria database
Functional: PBE
Structure: relaxed

Formation energy from raw total energies ... -7.03 eV per formula unit
Energy above the most stable polymorph in this dataset ... 39.2 meV per atom

abc: 4.047 4.047 5.717
angles: 90.00 90.00 90.00
Space group P4/mmm (No. 123)
One atom of each set of equivalent atoms:
Y 0.000 0.000 0.000 x1
Y 0.500 0.500 0.500 x1
P 0.000 0.000 0.500 x1
Se 0.500 0.500 0.000 x1